VASP calculation (PBE) on crystalline Na5Pd2F12 at its relaxed geometry.

Lattice parameters (Å, degrees): 7.2233 7.2233 7.1579 110.97 110.97 53.33
Atoms (fractional coordinates):
Na 0.0000 0.0000 0.0000
Na 0.2731 0.2731 0.0923
Na 0.3206 0.3206 0.7062
Na 0.6794 0.6794 0.2938
Na 0.7269 0.7269 0.9077
Pd 0.2501 0.7499 0.5000
Pd 0.7499 0.2501 0.5000
F 0.0246 0.0246 0.6883
F 0.0969 0.5824 0.4450
F 0.1096 0.6060 0.9508
F 0.3940 0.8904 0.0492
F 0.4176 0.9031 0.5550
F 0.4778 0.4778 0.3102
F 0.5222 0.5222 0.6898
F 0.5824 0.0969 0.4450
F 0.6060 0.1096 0.9508
F 0.8904 0.3940 0.0492
F 0.9031 0.4176 0.5550
F 0.9754 0.9754 0.3117

Results
- calculated volume (Å³/atom) = 14.4
- raw formation energy (eV/atom) = -1.975
- crystal system = monoclinic
- DOS(E_F) (states/eV/cell) = 16.15



VASP calculation (PBE) on crystalline MgHg3S at its relaxed geometry.

Lattice parameters (Å, degrees): 5.3828 5.3828 5.3828 90.00 90.00 90.00
Atoms (fractional coordinates):
Mg 0.0000 0.0000 0.0000
Hg 0.0000 0.0000 0.5000
Hg 0.0000 0.5000 0.0000
Hg 0.5000 0.0000 0.0000
S 0.5000 0.5000 0.5000

Results
- calculated volume (Å³/atom) = 31.2
- energy relative to the lowest polymorph listed for this composition (eV/atom) = 0.054
- raw formation energy (eV/atom) = 0.380
- crystal system = cubic
- DOS(E_F) (states/eV/cell) = 4.47



VASP calculation (PBE) on crystalline NpPt at its relaxed geometry.

Lattice parameters (Å, degrees): 6.0340 6.0340 4.2742 90.00 90.00 153.36
Atoms (fractional coordinates):
Np 0.0548 0.9452 0.7500
Np 0.9452 0.0548 0.2500
Pt 0.3114 0.6886 0.7500
Pt 0.6886 0.3114 0.2500

Results
- formation enthalpy at 0 K (eV per atom) = -0.382
- calculated volume (Å³/atom) = 17.4
- crystal system = orthorhombic
- DOS(E_F) (states/eV/cell) = 7.96